[1]
TeC: relaxed, GGA-PBE. Values from VASP.

Geometry as Quantum ESPRESSO input:
```
&SYSTEM
  ibrav = 0, nat = 2, ntyp = 2
/
ATOMIC_SPECIES
C 12.01 C.upf
Te 127.60 Te.upf
CELL_PARAMETERS angstrom
-3.5478 1.4300 -0.7158
-2.2378 -1.6266 -2.7369
-3.1588 -2.0299 1.0226
ATOMIC_POSITIONS crystal
C 0.0000 0.0000 0.0000
Te 0.7500 0.7500 0.7500
```

**VASP energy**: -8.44 eV/cell
**E_form (uncorrected)**: 1962 meV/atom
**Energy above the lowest structure with this stoichiometry**: 1205.8 meV/atom



[2]
TeC: relaxed, GGA-PBE. Values from VASP.

Geometry as Quantum ESPRESSO input:
```
&SYSTEM
  ibrav = 0, nat = 16, ntyp = 2
/
ATOMIC_SPECIES
Te 127.60 Te.upf
C 12.01 C.upf
CELL_PARAMETERS angstrom
-5.9679 4.3115 -0.3239
-3.8397 -5.5388 -2.9813
-1.9876 -2.2455 6.7318
ATOMIC_POSITIONS crystal
Te 0.3269 0.3269 0.3269
Te 0.3269 0.6731 0.6731
Te 0.6731 0.3269 0.6731
Te 0.6731 0.6731 0.3269
Te 0.8269 0.8269 0.8269
Te 0.8269 0.1731 0.1731
Te 0.1731 0.8269 0.1731
Te 0.1731 0.1731 0.8269
C 0.1431 0.1431 0.1431
C 0.1431 0.8569 0.8569
C 0.8569 0.1431 0.8569
C 0.8569 0.8569 0.1431
C 0.6431 0.6431 0.6431
C 0.6431 0.3569 0.3569
C 0.3569 0.6431 0.3569
C 0.3569 0.3569 0.6431
```

**VASP energy**: -66.92 eV/cell
**E_form (uncorrected)**: 2000 meV/atom
**Energy above the lowest structure with this stoichiometry**: 1244.3 meV/atom



[3]
TeC: relaxed, GGA-PBE. Values from VASP.

Geometry as Quantum ESPRESSO input:
```
&SYSTEM
  ibrav = 0, nat = 2, ntyp = 2
/
ATOMIC_SPECIES
C 12.01 C.upf
Te 127.60 Te.upf
CELL_PARAMETERS angstrom
-0.8122 -2.5156 1.9281
3.0917 -1.0672 -0.0899
0.7488 1.9305 2.8342
ATOMIC_POSITIONS crystal
C 0.0000 0.0000 0.0000
Te 0.5000 0.5000 0.0000
```

**VASP energy**: -8.35 eV/cell
**E_form (uncorrected)**: 2008 meV/atom
**Energy above the lowest structure with this stoichiometry**: 1252.0 meV/atom